Compound: NbVCr
Source: Alexandria
Functional: PBE-GGA
Structure: optimized geometry

POSCAR file:
```
NbVCr
1.0
4.285 0.000 0.000
0.000 4.303 0.000
0.000 0.000 9.405
Nb V Cr
4 4 4
Direct
0.000 0.000 0.000
0.000 0.500 0.500
0.500 0.000 0.500
0.500 0.500 0.000
0.000 0.000 0.315
0.000 0.500 0.815
0.500 0.000 0.815
0.500 0.500 0.315
0.000 0.000 0.671
0.000 0.500 0.171
0.500 0.000 0.171
0.500 0.500 0.671
```

Crystal system = orthorhombic
E_form = 0.0183 eV/atom
Offset from the most stable computed form = 0.127 eV/atom

***

Compound: Rb3Pb2S2Cl3
Source: Alexandria
Functional: PBE-GGA
Structure: optimized geometry

POSCAR file:
```
Rb3Pb2S2Cl3
1.0
-2.465 2.465 16.454
2.465 -2.465 16.454
2.465 2.465 -16.454
Rb Pb S Cl
3 2 2 3
Direct
0.000 0.000 0.000
0.400 0.400 0.000
0.600 0.600 0.000
0.210 0.210 0.000
0.790 0.790 0.000
0.250 0.750 0.500
0.750 0.250 0.500
0.099 0.099 0.000
0.500 0.500 0.000
0.901 0.901 0.000
```

Crystal system = tetragonal
Formation energy from raw total energies = -12.65 eV per formula unit

***

Compound: KHg2TeAu
Source: Alexandria
Functional: PBE-GGA
Structure: optimized geometry

POSCAR file:
```
KHg2TeAu
1.0
5.435 0.000 0.000
0.000 5.435 0.000
0.000 0.000 5.824
K Hg Te Au
1 2 1 1
Direct
0.000 0.000 0.000
0.000 0.500 0.500
0.500 0.000 0.500
0.500 0.500 0.000
0.500 0.500 0.500
```

Crystal system = tetragonal
Formation energy from raw total energies = -1.38 eV per formula unit

***

Compound: Pu3NpN4
Source: Alexandria
Functional: PBE-GGA
Structure: optimized geometry

POSCAR file:
```
Pu3NpN4
1.0
6.964 0.000 0.000
0.000 9.849 0.000
0.000 0.000 3.482
Pu Np N
6 2 8
Direct
0.000 0.000 0.000
0.250 0.250 0.500
0.250 0.750 0.500
0.500 0.500 0.000
0.750 0.250 0.500
0.750 0.750 0.500
0.000 0.500 0.000
0.500 0.000 0.000
0.000 0.254 0.000
0.000 0.746 0.000
0.243 0.500 0.500
0.257 0.000 0.500
0.500 0.246 0.000
0.500 0.754 0.000
0.743 0.000 0.500
0.757 0.500 0.500
```

Crystal system = orthorhombic
Formation energy from raw total energies = -9.71 eV per formula unit

***

Compound: PaBeCo
Source: Alexandria
Functional: PBE-GGA
Structure: optimized geometry

POSCAR file:
```
PaBeCo
1.0
4.013 0.000 0.000
-2.007 3.476 0.000
0.000 0.000 3.314
Pa Be Co
1 1 1
Direct
0.000 0.000 0.000
0.333 0.667 0.500
0.667 0.333 0.500
```

Crystal system = hexagonal
E_form = -0.1876 eV/atom
Offset from the most stable computed form = 0.112 eV/atom

***

Compound: PrSm6Tm8
Source: Alexandria
Functional: PBE-GGA
Structure: optimized geometry

POSCAR file:
```
PrSm6Tm8
1.0
9.480 0.000 0.000
-4.740 8.210 0.000
0.000 0.000 6.445
Pr Sm Tm
1 6 8
Direct
0.000 0.000 0.000
0.099 0.418 0.913
0.318 0.901 0.913
0.418 0.318 0.087
0.582 0.682 0.913
0.682 0.099 0.087
0.901 0.582 0.087
0.022 0.686 0.592
0.314 0.336 0.592
0.333 0.667 0.356
0.336 0.022 0.408
0.664 0.978 0.592
0.667 0.333 0.644
0.686 0.664 0.408
0.978 0.314 0.408
```

Crystal system = trigonal
E_form = 0.2269 eV/atom

***

Compound: LaCeRh
Source: Alexandria
Functional: PBE-GGA
Structure: optimized geometry

POSCAR file:
```
LaCeRh
1.0
7.487 0.000 0.000
0.000 5.144 0.000
0.000 0.000 8.122
La Ce Rh
4 4 4
Direct
0.004 0.250 0.171
0.496 0.750 0.671
0.504 0.250 0.329
0.996 0.750 0.829
0.135 0.250 0.612
0.365 0.750 0.112
0.635 0.250 0.888
0.865 0.750 0.388
0.211 0.750 0.443
0.289 0.250 0.943
0.711 0.750 0.057
0.789 0.250 0.557
```

Crystal system = orthorhombic
E_form = -0.5242 eV/atom
Offset from the most stable computed form = 0.000 eV/atom

***

Compound: RbCu2I
Source: Alexandria
Functional: PBE-GGA
Structure: optimized geometry

POSCAR file:
```
RbCu2I
1.0
7.519 0.000 0.000
0.000 7.519 0.000
0.000 0.000 7.519
Rb Cu I
4 8 4
Direct
0.000 0.000 0.000
0.000 0.500 0.500
0.500 0.000 0.500
0.500 0.500 0.000
0.250 0.250 0.250
0.250 0.250 0.750
0.250 0.750 0.250
0.250 0.750 0.750
0.750 0.250 0.250
0.750 0.250 0.750
0.750 0.750 0.250
0.750 0.750 0.750
0.000 0.000 0.500
0.000 0.500 0.000
0.500 0.000 0.000
0.500 0.500 0.500
```

Crystal system = cubic
Formation energy from raw total energies = 2.17 eV per formula unit
Offset from the most stable computed form = 0.133 eV/atom

***

Compound: Zr3GaSn
Source: Alexandria
Functional: PBE-GGA
Structure: optimized geometry

POSCAR file:
```
Zr3GaSn
1.0
4.995 0.000 0.000
0.000 4.995 0.000
0.000 0.000 4.995
Zr Ga Sn
3 1 1
Direct
0.000 0.000 0.500
0.000 0.500 0.000
0.500 0.000 0.000
0.000 0.000 0.000
0.500 0.500 0.500
```

Crystal system = cubic
E_form = 0.1295 eV/atom
Offset from the most stable computed form = 0.326 eV/atom

***

Compound: Dy3HoIn4
Source: Alexandria
Functional: PBE-GGA
Structure: optimized geometry

POSCAR file:
```
Dy3HoIn4
1.0
3.757 0.000 0.000
0.000 3.757 0.000
0.000 0.000 15.037
Dy Ho In
3 1 4
Direct
0.000 0.000 0.000
0.000 0.000 0.251
0.000 0.000 0.749
0.000 0.000 0.500
0.500 0.500 0.126
0.500 0.500 0.376
0.500 0.500 0.624
0.500 0.500 0.874
```

Crystal system = tetragonal
E_form = -0.4637 eV/atom
Offset from the most stable computed form = 0.000 eV/atom

***

Compound: Tb3PmMg6
Source: Alexandria
Functional: PBE-GGA
Structure: optimized geometry

POSCAR file:
```
Tb3PmMg6
1.0
9.310 0.000 0.000
0.000 5.299 0.000
-3.100 0.000 10.888
Tb Pm Mg
6 2 12
Direct
0.042 0.250 0.396
0.148 0.750 0.203
0.251 0.250 0.003
0.749 0.750 0.997
0.852 0.250 0.797
0.958 0.750 0.604
0.447 0.250 0.605
0.553 0.750 0.395
0.057 0.750 0.900
0.157 0.250 0.707
0.253 0.750 0.507
0.353 0.750 0.805
0.354 0.250 0.299
0.451 0.750 0.097
0.549 0.250 0.903
0.646 0.750 0.701
0.647 0.250 0.195
0.747 0.250 0.493
0.843 0.750 0.293
0.943 0.250 0.100
```

Crystal system = monoclinic
E_form = -0.0739 eV/atom

***

Compound: NdDyRuRh
Source: Alexandria
Functional: PBE-GGA
Structure: optimized geometry

POSCAR file:
```
NdDyRuRh
1.0
6.943 0.000 0.000
0.000 6.943 0.000
0.000 0.000 6.943
Nd Dy Ru Rh
4 4 4 4
Direct
0.000 0.000 0.000
0.000 0.500 0.500
0.500 0.000 0.500
0.500 0.500 0.000
0.000 0.000 0.500
0.000 0.500 0.000
0.500 0.000 0.000
0.500 0.500 0.500
0.250 0.250 0.750
0.250 0.750 0.250
0.750 0.250 0.250
0.750 0.750 0.750
0.250 0.250 0.250
0.250 0.750 0.750
0.750 0.250 0.750
0.750 0.750 0.250
```

Crystal system = cubic
E_form = -0.4749 eV/atom

***

no.,total magnetization (μB per formula unit),calculated volume (Å³ per atom)
1,0.00,14.5
2,0.00,40.0
3,0.00,34.4
4,17.76,14.9
5,0.00,15.4
6,0.00,33.4
7,0.25,26.1
8,0.00,26.6
9,0.00,24.9
10,0.00,26.5
11,0.00,26.9
12,0.00,20.9